Record 1
An optimized crystal structure of Rb3Pm2DySe6. Source: the Alexandria database, functional PBE-GGA.

raw total energy: -58.771 eV/cell
formation energy (no corrections): -1.74 eV/atom
crystal system: monoclinic

Cell: 7.470 7.470 8.392 Å, 98.54 98.54 120.00°
Sites, in units of the cell vectors:
Rb (0.000, 0.000, 0.000)
Rb (0.332, 0.668, 0.000)
Rb (0.668, 0.332, 0.000)
Pm (0.167, 0.833, 0.500)
Pm (0.833, 0.167, 0.500)
Dy (0.500, 0.500, 0.500)
Se (0.107, 0.434, 0.302)
Se (0.239, 0.239, 0.699)
Se (0.434, 0.107, 0.302)
Se (0.566, 0.893, 0.698)
Se (0.761, 0.761, 0.301)
Se (0.893, 0.566, 0.698)

=====

Record 2
An optimized crystal structure of La3PrAu2. Source: the Alexandria database, functional PBE-GGA.

raw total energy: -58.937 eV/cell
energy above the lowest structure with this stoichiometry: 0 meV/atom
crystal system: orthorhombic
energy of formation: -0.56 eV/atom

Cell: 5.188 9.495 7.412 Å, 90.00 90.00 90.00°
Sites, in units of the cell vectors:
La (0.000, 0.076, 0.000)
La (0.000, 0.338, 0.350)
La (0.000, 0.662, 0.850)
La (0.000, 0.924, 0.500)
La (0.500, 0.163, 0.656)
La (0.500, 0.837, 0.156)
Pr (0.500, 0.427, 0.008)
Pr (0.500, 0.573, 0.508)
Au (0.000, 0.346, 0.765)
Au (0.000, 0.654, 0.265)
Au (0.500, 0.156, 0.242)
Au (0.500, 0.844, 0.742)

=====

Record 3
An optimized crystal structure of Rb3Li2F4. Source: the Alexandria database, functional PBE-GGA.

raw total energy: -35.722 eV/cell
formation energy (no corrections): -2.39 eV/atom
crystal system: monoclinic

Cell: 7.930 7.930 7.941 Å, 117.85 117.85 27.74°
Sites, in units of the cell vectors:
Rb (0.000, 0.000, 0.000)
Rb (0.332, 0.332, 0.406)
Rb (0.668, 0.668, 0.594)
Li (0.306, 0.306, 0.972)
Li (0.694, 0.694, 0.028)
F (0.174, 0.174, 0.932)
F (0.331, 0.331, 0.764)
F (0.669, 0.669, 0.236)
F (0.826, 0.826, 0.068)

=====

Record 4
An optimized crystal structure of Ac3LaTl2Co. Source: the Alexandria database, functional PBE-GGA.

raw total energy: -61.272 eV/cell
crystal system: orthorhombic
energy of formation: -0.22 eV/atom

Cell: 5.212 5.470 17.285 Å, 90.00 90.00 90.00°
Sites, in units of the cell vectors:
Ac (0.000, 0.000, 0.000)
Ac (0.000, 0.500, 0.175)
Ac (0.000, 0.500, 0.825)
Ac (0.500, 0.000, 0.325)
Ac (0.500, 0.000, 0.675)
Ac (0.500, 0.500, 0.500)
La (0.000, 0.000, 0.500)
La (0.500, 0.500, 0.000)
Tl (0.000, 0.500, 0.366)
Tl (0.000, 0.500, 0.634)
Tl (0.500, 0.000, 0.134)
Tl (0.500, 0.000, 0.866)
Co (0.000, 0.500, 0.000)
Co (0.500, 0.000, 0.500)

=====

Record 5
An optimized crystal structure of SbBrCl. Source: the Alexandria database, functional PBE-GGA.

raw total energy: -17.476 eV/cell
formation energy (no corrections): -0.37 eV/atom
energy above the lowest structure with this stoichiometry: 223 meV/atom
crystal system: orthorhombic

Cell: 3.523 4.833 12.713 Å, 90.00 90.00 90.00°
Sites, in units of the cell vectors:
Sb (0.000, 0.000, 0.000)
Sb (0.500, 0.500, 0.500)
Br (0.000, 0.000, 0.804)
Br (0.500, 0.500, 0.304)
Cl (0.000, 0.000, 0.510)
Cl (0.500, 0.500, 0.010)